Material: LiNd2YTl4
Method: DFT, PBE
State: relaxed

## Properties
Crystal system: trigonal
E_tot (eV/atom): -3.778
DOS(E_F) (states/eV/cell): 4.95
Energy of formation from the pure elements (eV per atom): -0.356

Lattice parameters (Å, degrees): 9.5205 9.5205 9.5205 32.45 32.45 32.45
With the nearest neighbours (Å) after each atom.
Atoms (fractional coordinates):
Li: 0.0000 0.0000 0.0000  8 Tl 3.26-3.37
Nd: 0.2559 0.2559 0.2559  8 Tl 3.19-3.55
Nd: 0.7441 0.7441 0.7441  8 Tl 3.19-3.55
Y: 0.5000 0.5000 0.5000  8 Tl 3.27-3.41
Tl: 0.1247 0.1247 0.1247  3 Y 3.27, 4 Nd 3.33-3.55, 1 Li 3.37
Tl: 0.3740 0.3740 0.3740  4 Nd 3.19-3.23, 3 Li 3.26, 1 Y 3.41
Tl: 0.6260 0.6260 0.6260  4 Nd 3.19-3.23, 3 Li 3.26, 1 Y 3.41
Tl: 0.8753 0.8753 0.8753  3 Y 3.27, 4 Nd 3.33-3.55, 1 Li 3.37


Material: AcLa2Pm5Er
Method: DFT, PBE
State: relaxed

## Properties
Crystal system: orthorhombic
E_tot (eV/atom): -4.555
DOS(E_F) (states/eV/cell): 31.04
Energy of formation from the pure elements (eV per atom): 0.143

Lattice parameters (Å, degrees): 11.5816 11.5816 10.5193 90.00 90.00 152.21
With the nearest neighbours (Å) after each atom.
Atoms (fractional coordinates):
Ac: 0.0999 0.9001 0.5000  6 Pm 3.42-3.62
Ac: 0.9001 0.0999 0.0000  6 Pm 3.42-3.62
La: 0.3812 0.6188 0.7377  1 Er 3.59, 9 Pm 3.60-3.90, 2 Ac 3.94
La: 0.3822 0.6178 0.2627  9 Pm 3.59-3.87, 1 Er 3.59, 2 Ac 3.94
La: 0.6178 0.3822 0.7627  9 Pm 3.59-3.87, 1 Er 3.59, 2 Ac 3.94
La: 0.6188 0.3812 0.2377  1 Er 3.59, 9 Pm 3.60-3.90, 2 Ac 3.94
Pm: 0.0000 0.0000 0.2502  2 Ac 3.46, 6 Pm 3.76-3.83, 4 La 3.84-3.86
Pm: 0.0000 0.0000 0.7502  2 Ac 3.46, 6 Pm 3.76-3.83, 4 La 3.84-3.86
Pm: 0.1195 0.8805 0.0004  1 Er 3.60, 4 La 3.74, 6 Pm 3.76-3.98
Pm: 0.2215 0.7785 0.6956  2 Pm 3.27, 1 Ac 3.42, 3 Er 3.45-3.47, 1 La 3.62
Pm: 0.2227 0.7773 0.3076  2 Pm 3.27, 1 Ac 3.42, 3 Er 3.45-3.47, 1 La 3.62
Pm: 0.4967 0.5033 0.5005  4 La 3.59-3.90, 2 Ac 3.62, 6 Pm 3.82-3.83
Pm: 0.5033 0.4967 0.0005  4 La 3.59-3.90, 2 Ac 3.62, 6 Pm 3.82-3.83
Pm: 0.7773 0.2227 0.8076  2 Pm 3.27, 1 Ac 3.42, 3 Er 3.45-3.47, 1 La 3.62
Pm: 0.7785 0.2215 0.1956  2 Pm 3.27, 1 Ac 3.42, 3 Er 3.45-3.47, 1 La 3.62
Pm: 0.8805 0.1195 0.5004  1 Er 3.60, 4 La 3.74, 6 Pm 3.76-3.98
Er: 0.2796 0.7204 0.0012  7 Pm 3.45-3.60, 2 La 3.59
Er: 0.7204 0.2796 0.5012  7 Pm 3.45-3.60, 2 La 3.59


Material: Mn4CuPt3
Method: DFT, PBE
State: relaxed

## Properties
Crystal system: tetragonal
E_tot (eV/atom): -7.594
DOS(E_F) (states/eV/cell): 3.52
Energy of formation from the pure elements (eV per atom): -0.232

Lattice parameters (Å, degrees): 7.4505 7.4505 7.4505 147.61 147.61 46.46
With the nearest neighbours (Å) after each atom.
Atoms (fractional coordinates):
Mn: 0.1226 0.6226 0.5000  2 Cu 2.67, 6 Pt 2.67-2.73, 4 Mn 2.94
Mn: 0.3774 0.8774 0.5000  2 Cu 2.67, 6 Pt 2.67-2.73, 4 Mn 2.94
Mn: 0.6226 0.1226 0.5000  2 Cu 2.67, 6 Pt 2.67-2.73, 4 Mn 2.94
Mn: 0.8774 0.3774 0.5000  2 Cu 2.67, 6 Pt 2.67-2.73, 4 Mn 2.94
Cu: 0.0000 0.0000 0.0000  8 Mn 2.67, 4 Pt 2.94
Pt: 0.2485 0.2485 0.0000  8 Mn 2.70-2.73, 4 Pt 2.94
Pt: 0.5000 0.5000 0.0000  8 Mn 2.67, 4 Cu 2.94
Pt: 0.7515 0.7515 0.0000  8 Mn 2.70-2.73, 4 Pt 2.94